Density functional theory data (SCAN) for a PBEsol-optimized structure of ScNbNF2.

Structure (POSCAR):
```
ScNbNF2
1.0
4.097 0.000 0.000
0.000 4.132 0.000
0.000 0.000 4.132
Nb F N Sc
1 2 1 1
Direct
0.000 0.000 0.000 Nb
0.000 0.000 0.500 F
0.000 0.500 0.000 F
0.500 0.000 0.000 N
0.500 0.500 0.500 Sc
```

Results
- M_tot: 0.59 μB per atom
- Space-group type: P4/mmm
- DOS(E_F): 2.79 states/eV/f.u.
- ΔE_f (raw): -1.4469 eV/atom

Density functional theory data (SCAN) for a PBEsol-optimized structure of Co2Pt.

Structure (POSCAR):
```
Co2Pt
1.0
-1.020 1.668 1.752
-2.260 0.020 -1.335
-0.084 -4.900 2.650
Co Pt
2 1
Direct
0.323 0.323 0.646 Co
0.677 0.677 0.354 Co
0.000 0.000 0.000 Pt
```

Results
- M_tot: 1.38 μB per atom
- Space-group type: I4/mmm
- DOS(E_F): 2.35 states/eV/f.u.
- Formation energy: -0.074 eV per atom

Question: The highest DOS(E_F) belongs to which entry?
Answer: ScNbNF2